Material: CsCeRe2O8
Method: DFT, PBE-GGA
State: optimized geometry

The space group is P-3 (No. 147) and the conventional cell measures 6.1340, 6.1340 and 8.5212 Å, with angles of 90.00, 90.00 and 120.00 degrees. Symmetry generates all atoms from Cs at (0.0000, 0.0000, 0.0000), Ce at (0.0000, 0.0000, 0.5000), Re at (0.3333, 0.6667, 0.7420), O at (0.1685, 0.3462, 0.6677) and O at (0.3333, 0.6667, 0.9491).

As for the crystal system: trigonal. The density of states at the Fermi level is 0.530 states/eV/atom. Its energy relative to the elements, uncorrected is -2.01 eV/atom. The total magnetization is 3.04 μB per formula unit. The calculation puts the energy at -7.953 eV per atom.